DFT (PBE) results for a geometry-optimized TaTe2OsC structure.

Calculated values
DFT total energy	-7.797	eV per atom

a = 3.4601 Å, b = 3.4601 Å, c = 9.7344 Å
α = 90.00°, β = 90.00°, γ = 120.00°
With the nearest neighbours (Å) after each atom.
Fractional coordinates of all 5 atoms:
C 0.0000 0.0000 0.0167  3 Os 2.14, 3 Ta 2.31
Os 0.6667 0.3333 0.0951  3 C 2.14
Te 0.6667 0.3333 0.6907  3 Ta 2.84
Te 0.3333 0.6667 0.2993  3 Os 2.82
Ta 0.3333 0.6667 0.8983  3 C 2.31